# 1
Computed, not measured: crystalline RbCd6Pb2 at its relaxed geometry at the PBE level of DFT.

abc: 5.1664 5.1664 10.0342
angles: 90.00 90.00 90.00
Closest atoms and distances in Å follow each position.
Fractional coordinates of all 9 atoms:
Rb 0.0000 0.0000 0.0000  8 Pb 4.01, 8 Cd 4.20
Cd 0.0000 0.0000 0.5000  8 Cd 3.10
Cd 0.0000 0.5000 0.3301  2 Pb 3.06, 5 Cd 3.10-3.41
Cd 0.0000 0.5000 0.6699  2 Pb 3.06, 5 Cd 3.10-3.41
Cd 0.5000 0.0000 0.3301  2 Pb 3.06, 5 Cd 3.10-3.41
Cd 0.5000 0.0000 0.6699  2 Pb 3.06, 5 Cd 3.10-3.41
Cd 0.5000 0.5000 0.5000  8 Cd 3.10, 2 Pb 3.35
Pb 0.5000 0.5000 0.1659  5 Cd 3.06-3.35, 1 Pb 3.33
Pb 0.5000 0.5000 0.8341  5 Cd 3.06-3.35, 1 Pb 3.33

Summary:
Calculated formation energy = -0.201 eV/f.u.
Space group = No. 123

---

# 2
Computed, not measured: crystalline Rb3Cd5Pb2 at its relaxed geometry at the PBE level of DFT.

abc: 10.4441 10.4441 10.4441
angles: 118.46 82.49 130.86
Closest atoms and distances in Å follow each position.
Fractional coordinates of all 20 atoms:
Rb 0.1237 0.2471 0.3708  2 Pb 3.62-4.02, 5 Cd 3.83-3.97, 2 Rb 3.93
Rb 0.2500 0.2500 0.0000  4 Pb 3.61, 4 Rb 3.93
Rb 0.3763 0.7471 0.1234  2 Pb 3.62-4.02, 5 Cd 3.83-3.97, 2 Rb 3.93
Rb 0.6237 0.2529 0.8766  2 Pb 3.62-4.02, 5 Cd 3.83-3.97, 2 Rb 3.93
Rb 0.7500 0.7500 0.0000  4 Pb 3.61, 4 Rb 3.93
Rb 0.8763 0.7529 0.6292  2 Pb 3.62-4.02, 5 Cd 3.83-3.97, 2 Rb 3.93
Cd 0.0169 0.7500 0.2669  2 Pb 3.03, 2 Cd 3.04
Cd 0.1188 0.6056 0.7244  1 Pb 2.97, 4 Cd 3.04-3.08
Cd 0.2500 0.7500 0.5000  4 Cd 3.08
Cd 0.3812 0.1056 0.4869  1 Pb 2.97, 4 Cd 3.04-3.08
Cd 0.4831 0.7500 0.7331  2 Pb 3.03, 2 Cd 3.04
Cd 0.5169 0.2500 0.2669  2 Pb 3.03, 2 Cd 3.04
Cd 0.6188 0.8944 0.5131  1 Pb 2.97, 4 Cd 3.04-3.08
Cd 0.7500 0.2500 0.5000  4 Cd 3.08
Cd 0.8812 0.3944 0.2756  1 Pb 2.97, 4 Cd 3.04-3.08
Cd 0.9831 0.2500 0.7331  2 Pb 3.03, 2 Cd 3.04
Pb 0.1628 0.8756 0.0384  3 Cd 2.97-3.03
Pb 0.3372 0.3756 0.7127  3 Cd 2.97-3.03
Pb 0.6628 0.6244 0.2873  3 Cd 2.97-3.03
Pb 0.8372 0.1244 0.9616  3 Cd 2.97-3.03

Summary:
Calculated formation energy = -0.201 eV/f.u.
Space group = No. 72

---

# 3
Computed, not measured: crystalline RbCd3Pb4 at its relaxed geometry at the PBE level of DFT.

abc: 5.3799 5.3799 9.2009
angles: 90.00 90.00 90.00
Closest atoms and distances in Å follow each position.
Fractional coordinates of all 8 atoms:
Rb 0.0000 0.0000 0.0000  8 Pb 4.00, 8 Cd 4.06
Cd 0.0000 0.0000 0.5000  8 Pb 3.15
Cd 0.5000 0.5000 0.1538  1 Cd 2.83, 4 Pb 3.10
Cd 0.5000 0.5000 0.8462  1 Cd 2.83, 4 Pb 3.10
Pb 0.0000 0.5000 0.3219  4 Cd 3.10-3.15, 1 Pb 3.28
Pb 0.0000 0.5000 0.6781  4 Cd 3.10-3.15, 1 Pb 3.28
Pb 0.5000 0.0000 0.3219  4 Cd 3.10-3.15, 1 Pb 3.28
Pb 0.5000 0.0000 0.6781  4 Cd 3.10-3.15, 1 Pb 3.28

Summary:
Calculated formation energy = -0.219 eV/f.u.
Space group = No. 123

---

# 4
Computed, not measured: crystalline Rb2Cd5Pb3 at its relaxed geometry at the PBE level of DFT.

abc: 10.2534 10.2534 10.2534
angles: 100.88 92.84 139.62
Closest atoms and distances in Å follow each position.
Fractional coordinates of all 20 atoms:
Rb 0.1226 0.2470 0.3696  10 Cd 3.80-4.13, 6 Pb 3.85-4.13
Rb 0.3774 0.7470 0.1244  10 Cd 3.80-4.13, 6 Pb 3.85-4.13
Rb 0.6226 0.2530 0.8756  10 Cd 3.80-4.13, 6 Pb 3.85-4.13
Rb 0.8774 0.7530 0.6304  10 Cd 3.80-4.13, 6 Pb 3.85-4.13
Cd 0.0052 0.7500 0.2552  2 Cd 3.02, 2 Pb 3.04
Cd 0.1283 0.6379 0.7662  3 Pb 3.01-3.11, 2 Cd 3.02
Cd 0.2500 0.2500 0.0000  4 Pb 3.07
Cd 0.3717 0.1379 0.5096  3 Pb 3.01-3.11, 2 Cd 3.02
Cd 0.4948 0.7500 0.7448  2 Cd 3.02, 2 Pb 3.04
Cd 0.5052 0.2500 0.2552  2 Cd 3.02, 2 Pb 3.04
Cd 0.6283 0.8621 0.4904  3 Pb 3.01-3.11, 2 Cd 3.02
Cd 0.7500 0.7500 0.0000  4 Pb 3.07
Cd 0.8717 0.3621 0.2338  3 Pb 3.01-3.11, 2 Cd 3.02
Cd 0.9948 0.2500 0.7448  2 Cd 3.02, 2 Pb 3.04
Pb 0.1293 0.8687 0.9980  5 Cd 3.01-3.07
Pb 0.2500 0.7500 0.5000  6 Cd 3.11-3.46
Pb 0.3707 0.3687 0.7394  5 Cd 3.01-3.07
Pb 0.6293 0.6313 0.2606  5 Cd 3.01-3.07
Pb 0.7500 0.2500 0.5000  6 Cd 3.11-3.46
Pb 0.8707 0.1313 0.0020  5 Cd 3.01-3.07

Summary:
Calculated formation energy = -0.720 eV/f.u.
Space group = No. 72

---

# 5
Computed, not measured: crystalline RbCdPb4 at its relaxed geometry at the PBE level of DFT.

abc: 6.6756 6.6756 6.6756
angles: 60.00 60.00 60.00
Closest atoms and distances in Å follow each position.
Fractional coordinates of all 6 atoms:
Rb 0.0000 0.0000 0.0000  12 Pb 3.92, 4 Cd 4.09
Cd 0.2500 0.2500 0.2500  12 Pb 3.91, 4 Rb 4.09
Pb 0.1262 0.6246 0.6246  6 Pb 3.33-3.35
Pb 0.6246 0.1262 0.6246  6 Pb 3.33-3.35
Pb 0.6246 0.6246 0.1262  6 Pb 3.33-3.35
Pb 0.6246 0.6246 0.6246  6 Pb 3.33-3.35

Summary:
Calculated formation energy = 0.375 eV/f.u.
Space group = No. 216
E above lowest polymorph = 0.097 eV/atom

---

# 6
Computed, not measured: crystalline Rb2Cd2Pb at its relaxed geometry at the PBE level of DFT.

abc: 10.5577 10.5577 3.6499
angles: 90.00 90.00 90.00
Closest atoms and distances in Å follow each position.
Fractional coordinates of all 10 atoms:
Rb 0.1886 0.3114 0.0000  6 Cd 3.62-3.69, 2 Rb 3.65, 2 Pb 3.84
Rb 0.3114 0.8114 0.0000  6 Cd 3.62-3.69, 2 Rb 3.65, 2 Pb 3.84
Rb 0.6886 0.1886 0.0000  6 Cd 3.62-3.69, 2 Rb 3.65, 2 Pb 3.84
Rb 0.8114 0.6886 0.0000  6 Cd 3.62-3.69, 2 Rb 3.65, 2 Pb 3.84
Cd 0.1023 0.6023 0.5000  1 Cd 3.05
Cd 0.3977 0.1023 0.5000  1 Cd 3.05
Cd 0.6023 0.8977 0.5000  1 Cd 3.05
Cd 0.8977 0.3977 0.5000  1 Cd 3.05
Pb 0.0000 0.0000 0.0000  2 Pb 3.65, 4 Rb 3.84
Pb 0.5000 0.5000 0.0000  2 Pb 3.65, 4 Rb 3.84

Summary:
Calculated formation energy = 0.780 eV/f.u.
Space group = No. 127
E above lowest polymorph = 0.264 eV/atom

---

Quick rundown of spin magnetization, same order as above: 0.00, 0.00, 0.00, 0.00, 0.00, 0.00 μB/atom